No. 1
This record from Alexandria via LeMat-Bulk describes crystalline RbAgBiF6 at its relaxed geometry. The functional is PBE-GGA.

Lattice parameters (Å, degrees): 6.202 6.202 11.368 90.00 90.00 120.00
Site moments in Bohr magnetons follow the coordinates.
Fractional positions:
Rb: 0.000 0.000 0.000  0.00
Rb: 0.000 0.000 0.500  0.00
Ag: 0.333 0.667 0.250  0.54
Ag: 0.667 0.333 0.750  0.54
Bi: 0.667 0.333 0.250  0.01
Bi: 0.333 0.667 0.750  0.01
F: 0.625 0.625 0.146  0.08
F: 0.000 0.375 0.146  0.08
F: 0.375 0.000 0.646  0.08
F: 0.000 0.625 0.854  0.08
F: 0.375 0.375 0.354  0.08
F: 0.000 0.625 0.354  0.08
F: 0.625 0.000 0.854  0.08
F: 0.625 0.000 0.354  0.08
F: 0.000 0.375 0.646  0.08
F: 0.375 0.000 0.146  0.08
F: 0.625 0.625 0.646  0.08
F: 0.375 0.375 0.854  0.08

Its total magnetic moment is 0.116 μB per atom. The calculated volume comes out at 378.7 Å³ per cell. The calculation puts the total energy at -75.02 eV for the cell shown. Its formation energy (no corrections) is -2.06 eV per atom. The space group is P-31c (163).

***

No. 2
This record from Alexandria via LeMat-Bulk describes crystalline Ag2BiRhF at its relaxed geometry. The functional is PBE-GGA.

Lattice parameters (Å, degrees): 5.390 4.392 5.390 90.00 90.00 90.00
Site moments in Bohr magnetons follow the coordinates.
Fractional positions:
Rh: 0.500 0.500 0.500  1.15
Bi: 0.000 0.000 0.000  0.06
Ag: 0.000 0.000 0.500  0.01
Ag: 0.500 0.000 0.000  0.00
F: 0.000 0.500 0.000  0.00

Its total magnetic moment is 0.252 μB per atom. The calculated volume comes out at 127.6 Å³ per cell. The calculation puts the total energy at -16.57 eV for the cell shown. Its formation energy (no corrections) is 0.45 eV per atom. The space group is P4/mmm (123).

***

No. 3
This record from Alexandria via LeMat-Bulk describes crystalline AgBi2RuF at its relaxed geometry. The functional is PBE-GGA.

Lattice parameters (Å, degrees): 4.962 4.962 4.418 90.00 90.00 90.00
Site moments in Bohr magnetons follow the coordinates.
Fractional positions:
Ru: 0.500 0.500 0.500  1.39
Bi: 0.000 0.500 0.000  -0.03
Bi: 0.500 0.000 0.000  -0.03
Ag: 0.000 0.000 0.500  0.00
F: 0.000 0.000 0.000  0.00

Its total magnetic moment is 0.289 μB per atom. The calculated volume comes out at 108.8 Å³ per cell. The calculation puts the total energy at -20.33 eV for the cell shown. Its formation energy (no corrections) is 0.29 eV per atom. The space group is P4/mmm (123).

***

No. 4
This record from Alexandria via LeMat-Bulk describes crystalline ScAgBiF2 at its relaxed geometry. The functional is PBE-GGA.

Lattice parameters (Å, degrees): 4.091 4.091 6.332 90.00 90.00 90.00
Fractional positions:
Sc: 0.000 0.000 0.000
Bi: 0.000 0.000 0.500
Ag: 0.500 0.500 0.500
F: 0.000 0.500 0.000
F: 0.500 0.000 0.000

Its total magnetic moment is 0.000 μB per atom. The calculated volume comes out at 105.9 Å³ per cell. The calculation puts the total energy at -26.98 eV for the cell shown. Its formation energy (no corrections) is -2.03 eV per atom. The space group is P4/mmm (123).